Record 1
Computed, not measured: a relaxed structure of DyTm6Ni3 at the PBE level of DFT.

Lattice parameters (Å, degrees): 8.3673 8.3673 6.9916 90.00 90.00 99.87
With the nearest neighbours (Å) after each atom.
Sites, in units of the cell vectors:
Dy  0.1809  0.8191  0.5000  1 Ni 2.64
Dy  0.8191  0.1809  0.0000  1 Ni 2.64
Tm  0.0820  0.4642  0.7308  2 Ni 2.77-2.88
Tm  0.1297  0.2050  0.3779  4 Ni 2.63-2.81
Tm  0.2050  0.1297  0.8779  4 Ni 2.63-2.81
Tm  0.2735  0.7265  0.0396  3 Ni 2.61-2.63
Tm  0.4642  0.0820  0.2308  2 Ni 2.77-2.88
Tm  0.4694  0.5306  0.3828  4 Ni 3.08-3.12
Tm  0.5306  0.4694  0.8828  4 Ni 3.08-3.12
Tm  0.5358  0.9180  0.7308  2 Ni 2.77-2.88
Tm  0.7265  0.2735  0.5396  3 Ni 2.61-2.63
Tm  0.7950  0.8703  0.3779  4 Ni 2.63-2.81
Tm  0.8703  0.7950  0.8779  4 Ni 2.63-2.81
Tm  0.9180  0.5358  0.2308  2 Ni 2.77-2.88
Ni  0.0822  0.9178  0.1690  5 Tm 2.61-2.78, 1 Dy 2.64
Ni  0.1972  0.4116  0.0935  5 Tm 2.63-2.88
Ni  0.4116  0.1972  0.5935  5 Tm 2.63-2.88
Ni  0.5884  0.8028  0.0935  5 Tm 2.63-2.88
Ni  0.8028  0.5884  0.5935  5 Tm 2.63-2.88
Ni  0.9178  0.0822  0.6690  5 Tm 2.61-2.78, 1 Dy 2.64

Calculated values
**Crystal system**: orthorhombic
**Final energy**: -5.14 eV/atom
**Symmetry**: No. 36
**Energy relative to the elements**: -0.2641 eV/atom

***

Record 2
Computed, not measured: a relaxed structure of Zr3FeRe at the PBE level of DFT.

Lattice parameters (Å, degrees): 5.0095 5.0095 5.0095 90.00 90.00 90.00
With the nearest neighbours (Å) after each atom.
Sites, in units of the cell vectors:
Zr  0.0000  0.0000  0.5000  2 Re 2.50
Zr  0.0000  0.5000  0.0000  2 Re 2.50
Zr  0.5000  0.0000  0.0000  2 Re 2.50
Fe  0.5000  0.5000  0.5000  12 Zr 3.54
Re  0.0000  0.0000  0.0000  6 Zr 2.50

Calculated values
**Energy above the most stable polymorph in this dataset**: 521 meV per atom
**Crystal system**: cubic
**Final energy**: -8.15 eV/atom
**Symmetry**: No. 221
**Energy relative to the elements**: 1.1651 eV/atom

***

Record 3
Computed, not measured: a relaxed structure of PmMgAl2Zn2 at the PBE level of DFT.

Lattice parameters (Å, degrees): 4.4436 4.4436 6.9454 90.00 90.00 120.00
With the nearest neighbours (Å) after each atom.
Sites, in units of the cell vectors:
Pm  0.0000  0.0000  0.0000  6 Al 3.19, 6 Zn 3.20, 2 Mg 3.47
Mg  0.0000  0.0000  0.5000  6 Zn 3.01, 6 Al 3.01
Al  0.3333  0.6667  0.2723  3 Zn 2.57
Al  0.6667  0.3333  0.7277  3 Zn 2.57
Zn  0.3333  0.6667  0.7256  3 Al 2.57
Zn  0.6667  0.3333  0.2744  3 Al 2.57

Calculated values
**Crystal system**: trigonal
**Final energy**: -3.05 eV/atom
**Symmetry**: No. 164
**Energy relative to the elements**: -0.3181 eV/atom

***

Record 4
Computed, not measured: a relaxed structure of Sr8Zn2N at the PBE level of DFT.

Lattice parameters (Å, degrees): 9.6994 9.6994 7.2197 96.50 96.50 39.70
With the nearest neighbours (Å) after each atom.
Sites, in units of the cell vectors:
Sr  0.0443  0.0443  0.2620  1 Zn 3.29
Sr  0.1998  0.1998  0.8363  1 Zn 3.34
Sr  0.3734  0.3734  0.6039  1 N 2.51
Sr  0.4271  0.4271  0.1807  1 N 2.52
Sr  0.5729  0.5729  0.8193  1 N 2.52
Sr  0.6266  0.6266  0.3961  1 N 2.51
Sr  0.8002  0.8002  0.1637  1 Zn 3.34
Sr  0.9557  0.9557  0.7380  1 Zn 3.29
Zn  0.2258  0.2258  0.3022  3 Sr 3.25-3.34
Zn  0.7742  0.7742  0.6978  3 Sr 3.25-3.34
N  0.5000  0.5000  0.5000  4 Sr 2.51-2.52

Calculated values
**Crystal system**: monoclinic
**Final energy**: -2.22 eV/atom
**Symmetry**: No. 12

***

Record 5
Computed, not measured: a relaxed structure of LiHo3Al at the PBE level of DFT.

Lattice parameters (Å, degrees): 10.2767 10.2767 5.0556 90.00 90.00 151.51
With the nearest neighbours (Å) after each atom.
Sites, in units of the cell vectors:
Li  0.1582  0.8418  0.7500  8 Ho 3.12-3.16
Li  0.8418  0.1582  0.2500  8 Ho 3.12-3.16
Ho  0.0630  0.9370  0.2500  2 Li 3.16, 2 Al 3.17
Ho  0.2497  0.7503  0.2500  4 Al 3.11-3.12, 4 Li 3.12
Ho  0.4360  0.5640  0.2500  2 Li 3.15, 2 Al 3.16
Ho  0.5640  0.4360  0.7500  2 Li 3.15, 2 Al 3.16
Ho  0.7503  0.2497  0.7500  4 Al 3.11-3.12, 4 Li 3.12
Ho  0.9370  0.0630  0.7500  2 Li 3.16, 2 Al 3.17
Al  0.3411  0.6589  0.7500  8 Ho 3.11-3.17
Al  0.6589  0.3411  0.2500  8 Ho 3.11-3.17

Calculated values
**Energy above the most stable polymorph in this dataset**: 0 meV per atom
**Crystal system**: orthorhombic
**Final energy**: -4.02 eV/atom
**Symmetry**: No. 63
**Energy relative to the elements**: -0.1454 eV/atom

***

Record 6
Computed, not measured: a relaxed structure of DyCoSnRh at the PBE level of DFT.

Lattice parameters (Å, degrees): 4.6376 4.6376 4.6376 60.00 60.00 60.00
With the nearest neighbours (Å) after each atom.
Sites, in units of the cell vectors:
Dy  0.0000  0.0000  0.0000  4 Co 2.84, 4 Rh 2.84
Co  0.2500  0.2500  0.2500  4 Sn 2.84, 4 Dy 2.84
Sn  0.5000  0.5000  0.5000  4 Co 2.84, 4 Rh 2.84
Rh  0.7500  0.7500  0.7500  4 Dy 2.84, 4 Sn 2.84

Calculated values
**Crystal system**: cubic
**Final energy**: -6.28 eV/atom
**Symmetry**: No. 216
**Energy relative to the elements**: -0.5185 eV/atom